The following is a GGA-PBE calculation of a geometry-optimized CrPt structure, from Alexandria.

The calculation puts the formation energy at 1.6 eV/f.u. The density of states at the Fermi level comes out at 1.0623 states/eV per atom.

The space group is F-43m (No. 216) and the conventional cell measures 5.498, 5.498 and 5.498 Å, with angles of 90.00, 90.00 and 90.00 degrees. The distinct sites, in fractional coordinates, are Cr at (0.000, 0.000, 0.000) and Pt at (0.250, 0.250, 0.750).


The following is a GGA-PBE calculation of a geometry-optimized CrPt structure, from Alexandria.

The calculation puts the formation energy at 0.3 eV/f.u. The density of states at the Fermi level comes out at 1.1111 states/eV per atom.

The space group is P6_3/m (No. 176) and the conventional cell measures 8.8513, 8.8513 and 2.6490 Å, with angles of 90.00, 90.00 and 120.00 degrees. The distinct sites, in fractional coordinates, are Cr at (0.1652, 0.5386, 0.2500) and Pt at (0.0447, 0.7469, 0.2500).


The following is a GGA-PBE calculation of a geometry-optimized Cr3Pt structure, from Alexandria.

The calculation puts the formation energy at 0.1 eV/f.u. The density of states at the Fermi level comes out at 0.8648 states/eV per atom.

The space group is P4/mmm (No. 123) and the conventional cell measures 2.866, 2.866 and 6.379 Å, with angles of 90.00, 90.00 and 90.00 degrees. The distinct sites, in fractional coordinates, are Cr at (0.000, 0.000, 0.000), Cr at (0.500, 0.500, 0.215) and Pt at (0.000, 0.000, 0.500).


The following is a GGA-PBE calculation of a geometry-optimized Cr5Pt3 structure, from Alexandria.

The polymorph energy (0 for the lowest one) is 272.7 meV per atom. The calculation puts the formation energy at 0.5 eV/f.u. The density of states at the Fermi level comes out at 1.2613 states/eV per atom.

The space group is P6_3/mcm (No. 193) and the conventional cell measures 7.5537, 7.5537 and 4.6928 Å, with angles of 90.00, 90.00 and 120.00 degrees. The distinct sites, in fractional coordinates, are Cr at (0.0000, 0.2272, 0.2500), Cr at (0.3333, 0.6667, 0.0000) and Pt at (0.0000, 0.3956, 0.7500).


The following is a GGA-PBE calculation of a geometry-optimized Cr2Pt3 structure, from Alexandria.

The polymorph energy (0 for the lowest one) is 20.9 meV per atom. The calculation puts the formation energy at -0.4 eV/f.u. The density of states at the Fermi level comes out at 1.4118 states/eV per atom.

The space group is R-3m (No. 166, hexagonal axes) and the conventional cell measures 2.7261, 2.7261 and 33.2337 Å, with angles of 90.00, 90.00 and 120.00 degrees. The distinct sites, in fractional coordinates, are Cr at (0.0000, 0.0000, 0.1008), Pt at (0.0000, 0.0000, 0.2957) and Pt at (0.0000, 0.0000, 0.5000).


The following is a GGA-PBE calculation of a geometry-optimized Cr3Pt structure, from Alexandria.

The calculation puts the formation energy at 0.3 eV/f.u. The density of states at the Fermi level comes out at 1.1780 states/eV per atom.

The space group is Pmm2 (No. 25) and the conventional cell measures 2.701, 4.184 and 4.531 Å, with angles of 90.00, 90.00 and 90.00 degrees. The distinct sites, in fractional coordinates, are Cr at (0.000, 0.000, 0.000), Cr at (0.000, 0.500, 0.334), Cr at (0.500, 0.000, 0.442) and Pt at (0.500, 0.500, 0.829).


The following is a GGA-PBE calculation of a geometry-optimized Cr5Pt structure, from Alexandria.

The polymorph energy (0 for the lowest one) is 177.1 meV per atom. The calculation puts the formation energy at 1.1 eV/f.u. The density of states at the Fermi level comes out at 1.6681 states/eV per atom.

The space group is P-62m (No. 189) and the conventional cell measures 4.5589, 4.5589 and 4.1569 Å, with angles of 90.00, 90.00 and 120.00 degrees. The distinct sites, in fractional coordinates, are Cr at (0.0000, 0.6523, 0.0000), Cr at (0.3333, 0.6667, 0.5000) and Pt at (0.0000, 0.0000, 0.5000).


The following is a GGA-PBE calculation of a geometry-optimized CrPt structure, from Alexandria.

The calculation puts the formation energy at -0.1 eV/f.u. The density of states at the Fermi level comes out at 0.7462 states/eV per atom.

The space group is P-6m2 (No. 187) and the conventional cell measures 2.7188, 2.7188 and 4.2781 Å, with angles of 90.00, 90.00 and 120.00 degrees. The distinct sites, in fractional coordinates, are Cr at (0.0000, 0.0000, 0.0000) and Pt at (0.3333, 0.6667, 0.5000).